[1]
Computed, not measured: Sc2CoNi2 after structural relaxation at the PBE level of DFT.

```
data_Sc2CoNi2
_cell_length_a 4.8694
_cell_length_b 4.8694
_cell_length_c 6.9975
_cell_angle_alpha 90.00
_cell_angle_beta 90.00
_cell_angle_gamma 90.00
_space_group_name_H-M_alt 'I 4/m m m'
_space_group_IT_number 139
_space_group_name_Hall '-I 4 2'
loop_
_atom_site_label
_atom_site_type_symbol
_atom_site_fract_x
_atom_site_fract_y
_atom_site_fract_z
Sc1 Sc 0.0000 0.5000 0.2500
Co1 Co 0.0000 0.0000 0.0000
Ni1 Ni 0.0000 0.0000 0.3404
```

## Properties
Its density is 5.3 g cm⁻³. Its total energy is -0.4628 Ry/atom.

=====

[2]
Computed, not measured: ScCoNi2 after structural relaxation at the PBE level of DFT.

```
data_ScCoNi2
_cell_length_a 2.7598
_cell_length_b 3.5606
_cell_length_c 5.3434
_cell_angle_alpha 90.00
_cell_angle_beta 90.15
_cell_angle_gamma 90.00
_space_group_name_H-M_alt 'P 1 2/m 1'
_space_group_IT_number 10
_space_group_name_Hall '-P 2y'
loop_
_atom_site_label
_atom_site_type_symbol
_atom_site_fract_x
_atom_site_fract_y
_atom_site_fract_z
Sc1 Sc 0.0000 0.0000 0.0000
Co1 Co 0.0000 0.0000 0.5000
Ni1 Ni 0.4998 0.5000 0.2765
```

## Properties
Its density is 7.0 g cm⁻³. Its total energy is -0.4706 Ry/atom.

=====

Calculated energy of formation (eV per atom), listed in the same order as above: -0.031; -0.153